# 1
# TbMg2In6 PBE relaxed
# Energy of formation: -66 meV per atom
data_TbMg2In6
_space_group_name_H-M_alt 'A m m 2'
_space_group_IT_number 38
_cell_length_a 4.792
_cell_length_b 10.062
_cell_length_c 10.065
_cell_angle_alpha 90.00
_cell_angle_beta 90.00
_cell_angle_gamma 90.00
loop_
_space_group_symop_operation_xyz
'x,y,z'
'-x,-y,z'
'-x,y,z'
'x,-y,z'
'x,y+1/2,z+1/2'
'-x,-y+1/2,z+1/2'
'-x,y+1/2,z+1/2'
'x,-y+1/2,z+1/2'
loop_
_atom_site_label
_atom_site_fract_x
_atom_site_fract_y
_atom_site_fract_z
Tb1 0.000 0.000 0.000
Mg1 0.500 0.168 0.460
In1 0.000 0.000 0.566
In2 0.000 0.246 0.787
In3 0.500 0.000 0.775
In4 0.500 0.141 0.166

=====

# 2
# RbInPb3 PBE relaxed
# Energy above the lowest structure with this stoichiometry: 281 meV/atom
# Energy of formation: 196 meV per atom
data_RbInPb3
_space_group_name_H-M_alt 'P m -3 m'
_space_group_IT_number 221
_space_group_name_Hall '-P 4 2 3'
_cell_length_a 5.956
_cell_length_b 5.956
_cell_length_c 5.956
_cell_angle_alpha 90.00
_cell_angle_beta 90.00
_cell_angle_gamma 90.00
loop_
_atom_site_label
_atom_site_fract_x
_atom_site_fract_y
_atom_site_fract_z
Rb1 0.000 0.000 0.000
In1 0.500 0.500 0.500
Pb1 0.000 0.500 0.500

=====

# 3
# Sm8In2Pt PBE relaxed
# Energy of formation: -376 meV per atom
data_Sm8In2Pt
_space_group_name_H-M_alt 'C 1 2/m 1'
_space_group_IT_number 12
_cell_length_a 19.394
_cell_length_b 5.156
_cell_length_c 6.858
_cell_angle_alpha 90.00
_cell_angle_beta 104.46
_cell_angle_gamma 90.00
loop_
_space_group_symop_operation_xyz
'x,y,z'
'-x,-y,-z'
'-x,y,-z'
'x,-y,z'
'x+1/2,y+1/2,z'
'-x+1/2,-y+1/2,-z'
'-x+1/2,y+1/2,-z'
'x+1/2,-y+1/2,z'
loop_
_atom_site_label
_atom_site_fract_x
_atom_site_fract_y
_atom_site_fract_z
Sm1 0.018 0.000 0.279
Sm2 0.091 0.500 0.956
Sm3 0.148 0.500 0.484
Sm4 0.212 0.000 0.811
In1 0.183 0.000 0.251
Pt1 0.000 0.500 0.500

=====

# 4
# MgMoPb2 PBE relaxed
# Energy of formation: 523 meV per atom
data_MgMoPb2
_space_group_name_H-M_alt 'C 1 2/m 1'
_space_group_IT_number 12
_cell_length_a 10.008
_cell_length_b 3.191
_cell_length_c 5.718
_cell_angle_alpha 90.00
_cell_angle_beta 98.49
_cell_angle_gamma 90.00
loop_
_space_group_symop_operation_xyz
'x,y,z'
'-x,-y,-z'
'-x,y,-z'
'x,-y,z'
'x+1/2,y+1/2,z'
'-x+1/2,-y+1/2,-z'
'-x+1/2,y+1/2,-z'
'x+1/2,-y+1/2,z'
loop_
_atom_site_label
_atom_site_fract_x
_atom_site_fract_y
_atom_site_fract_z
Mg1 0.000 0.000 0.000
Mo1 0.000 0.500 0.500
Pb1 0.240 0.000 0.737

=====

# 5
# Mg2CdHg7 PBE relaxed
# Energy above the lowest structure with this stoichiometry: 0 meV/atom
# Energy of formation: -14 meV per atom
data_Mg2CdHg7
_space_group_name_H-M_alt 'C 1 2/m 1'
_space_group_IT_number 12
_cell_length_a 5.807
_cell_length_b 26.921
_cell_length_c 3.163
_cell_angle_alpha 90.00
_cell_angle_beta 90.14
_cell_angle_gamma 90.00
loop_
_space_group_symop_operation_xyz
'x,y,z'
'-x,-y,-z'
'-x,y,-z'
'x,-y,z'
'x+1/2,y+1/2,z'
'-x+1/2,-y+1/2,-z'
'-x+1/2,y+1/2,-z'
'x+1/2,-y+1/2,z'
loop_
_atom_site_label
_atom_site_fract_x
_atom_site_fract_y
_atom_site_fract_z
Mg1 0.000 0.200 0.000
Cd1 0.000 0.500 0.500
Hg1 0.000 0.000 0.000
Hg2 0.000 0.294 0.500
Hg3 0.248 0.397 0.999

=====

# 6
# TaNbSi2 PBE relaxed
# Energy above the lowest structure with this stoichiometry: 0 meV/atom
# Energy relative to the elements, uncorrected: -0.140 eV/atom
data_TaNbSi2
_space_group_name_H-M_alt 'R -3 m'
_space_group_IT_number 166
_space_group_name_Hall '-R 3 2"'
_cell_length_a 3.6491
_cell_length_b 3.6491
_cell_length_c 17.7783
_cell_angle_alpha 90.00
_cell_angle_beta 90.00
_cell_angle_gamma 120.00
loop_
_atom_site_label
_atom_site_fract_x
_atom_site_fract_y
_atom_site_fract_z
Ta1 0.0000 0.0000 0.0000
Nb1 0.0000 0.0000 0.5000
Si1 0.0000 0.0000 0.2504

=====

# 7
# TiPIr2 PBE relaxed
# Energy of formation: -180 meV per atom
data_TiPIr2
_space_group_name_H-M_alt 'I -4 2 d'
_space_group_IT_number 122
_space_group_name_Hall 'I -4 2bw'
_cell_length_a 5.322
_cell_length_b 5.322
_cell_length_c 11.337
_cell_angle_alpha 90.00
_cell_angle_beta 90.00
_cell_angle_gamma 90.00
loop_
_atom_site_label
_atom_site_fract_x
_atom_site_fract_y
_atom_site_fract_z
Ti1 0.000 0.000 0.000
P1 0.000 0.000 0.500
Ir1 0.215 0.250 0.625

=====

# 8
# LaDyAgIr PBE relaxed
# Energy of formation: -497 meV per atom
data_LaDyAgIr
_space_group_name_H-M_alt 'F -4 3 m'
_space_group_IT_number 216
_space_group_name_Hall 'F -4 2 3'
_cell_length_a 7.216
_cell_length_b 7.216
_cell_length_c 7.216
_cell_angle_alpha 90.00
_cell_angle_beta 90.00
_cell_angle_gamma 90.00
loop_
_atom_site_label
_atom_site_fract_x
_atom_site_fract_y
_atom_site_fract_z
La1 0.000 0.000 0.000
Dy1 0.000 0.000 0.500
Ag1 0.250 0.250 0.250
Ir1 0.250 0.250 0.750

=====

# 9
# LiZrBr2 PBE relaxed
# Energy above the lowest structure with this stoichiometry: 959 meV/atom
# Energy relative to the elements, uncorrected: 0.123 eV/atom
data_LiZrBr2
_space_group_name_H-M_alt 'F -4 3 m'
_space_group_IT_number 216
_space_group_name_Hall 'F -4 2 3'
_cell_length_a 7.283
_cell_length_b 7.283
_cell_length_c 7.283
_cell_angle_alpha 90.00
_cell_angle_beta 90.00
_cell_angle_gamma 90.00
loop_
_atom_site_label
_atom_site_fract_x
_atom_site_fract_y
_atom_site_fract_z
Li1 0.000 0.000 0.000
Zr1 0.250 0.250 0.750
Br1 0.000 0.000 0.500
Br2 0.250 0.250 0.250

=====

# 10
# RuPtSeN2 PBE relaxed
# Energy above the lowest structure with this stoichiometry: 0 meV/atom
# Energy relative to the elements, uncorrected: 0.904 eV/atom
data_RuPtSeN2
_space_group_name_H-M_alt 'P 4/m m m'
_space_group_IT_number 123
_space_group_name_Hall '-P 4 2'
_cell_length_a 3.723
_cell_length_b 3.723
_cell_length_c 5.716
_cell_angle_alpha 90.00
_cell_angle_beta 90.00
_cell_angle_gamma 90.00
loop_
_atom_site_label
_atom_site_fract_x
_atom_site_fract_y
_atom_site_fract_z
Ru1 0.000 0.000 0.000
Pt1 0.500 0.500 0.500
Se1 0.000 0.000 0.500
N1 0.000 0.500 0.000

=====

# 11
# YMg2Co PBE relaxed
# Energy of formation: 303 meV per atom
data_YMg2Co
_space_group_name_H-M_alt 'I -4 2 d'
_space_group_IT_number 122
_space_group_name_Hall 'I -4 2bw'
_cell_length_a 3.994
_cell_length_b 3.994
_cell_length_c 21.476
_cell_angle_alpha 90.00
_cell_angle_beta 90.00
_cell_angle_gamma 90.00
loop_
_atom_site_label
_atom_site_fract_x
_atom_site_fract_y
_atom_site_fract_z
Y1 0.000 0.000 0.000
Mg1 0.227 0.250 0.625
Co1 0.000 0.000 0.500

=====

# 12
# Li8Cd3 PBE relaxed
# Energy above the lowest structure with this stoichiometry: 191 meV/atom
# Energy of formation: 9 meV per atom
data_Li8Cd3
_space_group_name_H-M_alt 'R -3 m'
_space_group_IT_number 166
_space_group_name_Hall '-R 3 2"'
_cell_length_a 8.4272
_cell_length_b 8.4272
_cell_length_c 11.8007
_cell_angle_alpha 90.00
_cell_angle_beta 90.00
_cell_angle_gamma 120.00
loop_
_atom_site_label
_atom_site_fract_x
_atom_site_fract_y
_atom_site_fract_z
Li1 0.0000 0.0000 0.1018
Li2 0.0803 0.5402 0.2691
Cd1 0.0000 0.5000 0.5000

=====

| no. | D(E_F) (states/eV per cell) |
| --- | --- |
| 1 | 5.9 |
| 2 | 3.7 |
| 3 | 22.9 |
| 4 | 6.9 |
| 5 | 5.6 |
| 6 | 11.0 |
| 7 | 7.7 |
| 8 | 12.2 |
| 9 | 13.4 |
| 10 | 3.8 |
| 11 | 10.9 |
| 12 | 9.1 |